[1]
Entry from Alexandria via LeMat-Bulk: a relaxed structure of CuHgP (GGA-PBE).

Geometry as CIF:
```
data_CuHgP
_chemical_formula_sum 'Cu2 Hg2 P2'
_symmetry_space_group_name_H-M 'P -1'
_symmetry_Int_Tables_number 2
_cell_length_a 3.854
_cell_length_b 6.427
_cell_length_c 6.471
_cell_angle_alpha 61.60
_cell_angle_beta 89.89
_cell_angle_gamma 72.99
loop_
_symmetry_equiv_pos_as_xyz
'x,y,z'
'-x,-y,-z'
loop_
_atom_site_label
_atom_site_type_symbol
_atom_site_fract_x
_atom_site_fract_y
_atom_site_fract_z
Cu1 Cu 0.013 0.474 0.316
Hg1 Hg 0.220 0.060 0.764
P1 P 0.446 0.610 0.813
```

Properties
- E (eV per cell) = -18.92

***

[2]
Entry from Alexandria via LeMat-Bulk: a relaxed structure of SbAsP2Rh (GGA-PBE).

Geometry as CIF:
```
data_SbAsP2Rh
_chemical_formula_sum 'Sb1 As1 P2 Rh1'
_symmetry_space_group_name_H-M 'P 4/m m m'
_symmetry_Int_Tables_number 123
_symmetry_space_group_name_Hall '-P 4 2'
_cell_length_a 4.451
_cell_length_b 4.451
_cell_length_c 5.408
_cell_angle_alpha 90.00
_cell_angle_beta 90.00
_cell_angle_gamma 90.00
loop_
_atom_site_label
_atom_site_type_symbol
_atom_site_fract_x
_atom_site_fract_y
_atom_site_fract_z
Sb1 Sb 0.000 0.000 0.000
As1 As 0.500 0.500 0.000
P1 P 0.000 0.500 0.500
Rh1 Rh 0.500 0.500 0.500
```

Properties
- energy above the lowest structure with this stoichiometry (meV per atom) = 0.0
- E_form (uncorrected) (eV per atom) = 0.4437